A relaxed NbSiNiPd crystal. Source: the Open Quantum Materials Database, functional PBE.

Properties
The polymorph energy (0 for the lowest one) is 47 meV per atom. For the total energy, the calculation gives -6.805 eV per atom.

abc: 4.3237 4.3237 4.3237
angles: 60.00 60.00 60.00
Last column: nearest neighbours and their distance in Å.
Fractional coordinates of all 4 atoms:
Nb: 0.5000 0.5000 0.5000  4 Ni 2.65, 4 Pd 2.65
Ni: 0.7500 0.7500 0.7500  4 Nb 2.65, 4 Si 2.65
Pd: 0.2500 0.2500 0.2500  4 Si 2.65, 4 Nb 2.65
Si: 0.0000 0.0000 0.0000  4 Pd 2.65, 4 Ni 2.65


A relaxed HgBiB4 crystal. Source: the Open Quantum Materials Database, functional PBE.

Properties
The polymorph energy (0 for the lowest one) is 28 meV per atom. For the total energy, the calculation gives -4.410 eV per atom.

abc: 3.1442 3.1442 9.1268
angles: 90.00 90.00 120.00
Last column: nearest neighbours and their distance in Å.
Fractional coordinates of all 6 atoms:
B: 0.6667 0.3333 0.2410  3 B 1.82
B: 0.3333 0.6667 0.2410  3 B 1.82
B: 0.6667 0.3333 0.7590  3 B 1.82
B: 0.3333 0.6667 0.7590  3 B 1.82
Bi: 0.0000 0.0000 0.5000  12 B 2.98, 6 Bi 3.14
Hg: 0.0000 0.0000 0.0000  12 B 2.85, 6 Hg 3.14


A relaxed Li4CuPd2Pb crystal. Source: the Open Quantum Materials Database, functional PBE.

Properties
For the total energy, the calculation gives -3.516 eV per atom.

abc: 4.3996 4.3996 6.2611
angles: 90.00 90.00 90.00
Last column: nearest neighbours and their distance in Å.
Fractional coordinates of all 8 atoms:
Cu: 0.0000 0.0000 0.0000  4 Li 2.58, 4 Pd 2.62
Li: 0.5000 0.5000 0.0000  4 Li 2.58, 4 Pd 2.62
Li: 0.5000 0.0000 0.2164  4 Li 2.58-2.83, 2 Cu 2.58, 1 Pd 2.78, 2 Pb 2.83
Li: 0.0000 0.0000 0.5000  4 Pd 2.78, 4 Li 2.83, 4 Pb 3.11
Li: 0.0000 0.5000 0.7836  2 Cu 2.58, 4 Li 2.58-2.83, 1 Pd 2.78, 2 Pb 2.83
Pb: 0.5000 0.5000 0.5000  4 Pd 2.78, 8 Li 2.83-3.11
Pd: 0.0000 0.5000 0.2276  2 Cu 2.62, 5 Li 2.62-2.78, 2 Pb 2.78
Pd: 0.5000 0.0000 0.7724  5 Li 2.62-2.78, 2 Cu 2.62, 2 Pb 2.78


A relaxed GdNbNO crystal. Source: the Open Quantum Materials Database, functional PBE.

Properties
The polymorph energy (0 for the lowest one) is 63 meV per atom. For the total energy, the calculation gives -8.675 eV per atom.

abc: 3.7780 3.7780 8.1881
angles: 90.00 90.00 89.94
Last column: nearest neighbours and their distance in Å.
Fractional coordinates of all 8 atoms:
Gd: 0.2500 0.2500 0.1426  4 O 2.22
Gd: 0.7500 0.7500 0.8570  4 O 2.22
N: 0.7500 0.7500 0.3494  4 Nb 2.25
N: 0.2500 0.2500 0.6517  4 Nb 2.26
Nb: 0.7500 0.2500 0.4995  4 N 2.25-2.26
Nb: 0.2500 0.7500 0.4995  4 N 2.25-2.26
O: 0.7500 0.2500 0.0001  4 Gd 2.22
O: 0.2500 0.7500 0.0001  4 Gd 2.22


A relaxed HfReAg2S6 crystal. Source: the Open Quantum Materials Database, functional PBE.

Properties
For the total energy, the calculation gives -5.367 eV per atom.

abc: 6.7607 6.7607 6.7607
angles: 120.00 120.00 60.00
Last column: nearest neighbours and their distance in Å.
Fractional coordinates of all 10 atoms:
Ag: 0.7500 0.7500 0.2500  12 S 3.38
Ag: 0.2500 0.2500 0.7500  12 S 3.38
Hf: 0.5000 0.5000 0.5000  6 S 2.46
Re: 0.0000 0.0000 0.0000  6 S 2.32
S: 0.2429 0.2429 0.2429  1 Re 2.32, 1 Hf 2.46
S: 0.7571 0.2429 0.2429  1 Re 2.32, 1 Hf 2.46
S: 0.2429 0.7571 0.2429  1 Re 2.32, 1 Hf 2.46
S: 0.7571 0.7571 0.7571  1 Re 2.32, 1 Hf 2.46
S: 0.7571 0.2429 0.7571  1 Re 2.32, 1 Hf 2.46
S: 0.2429 0.7571 0.7571  1 Re 2.32, 1 Hf 2.46


A relaxed GaSiHg crystal. Source: the Open Quantum Materials Database, functional PBE.

Properties
The polymorph energy (0 for the lowest one) is 0 meV per atom. For the total energy, the calculation gives -2.625 eV per atom.

abc: 4.5217 4.5217 4.5217
angles: 60.00 60.00 60.00
Last column: nearest neighbours and their distance in Å.
Fractional coordinates of all 3 atoms:
Ga: 0.2500 0.2500 0.2500  4 Si 2.77
Hg: 0.7500 0.7500 0.7500  4 Si 2.77
Si: 0.0000 0.0000 0.0000  4 Hg 2.77, 4 Ga 2.77


A relaxed FeSiHgOs crystal. Source: the Open Quantum Materials Database, functional PBE.

Properties
The polymorph energy (0 for the lowest one) is 0 meV per atom. For the total energy, the calculation gives -5.772 eV per atom.

abc: 4.3694 4.3694 4.3694
angles: 60.00 60.00 60.00
Last column: nearest neighbours and their distance in Å.
Fractional coordinates of all 4 atoms:
Fe: 0.7500 0.7500 0.7500  4 Si 2.68, 4 Hg 2.68
Hg: 0.5000 0.5000 0.5000  4 Os 2.68, 4 Fe 2.68
Os: 0.2500 0.2500 0.2500  4 Hg 2.68, 4 Si 2.68
Si: 0.0000 0.0000 0.0000  4 Fe 2.68, 4 Os 2.68


A relaxed HfBeFeSi crystal. Source: the Open Quantum Materials Database, functional PBE.

Properties
The polymorph energy (0 for the lowest one) is 265 meV per atom. For the total energy, the calculation gives -6.900 eV per atom.

abc: 4.1944 4.1944 4.1944
angles: 60.00 60.00 60.00
Last column: nearest neighbours and their distance in Å.
Fractional coordinates of all 4 atoms:
Be: 0.7500 0.7500 0.7500  4 Fe 2.57, 4 Si 2.57
Fe: 0.5000 0.5000 0.5000  4 Be 2.57, 4 Hf 2.57
Hf: 0.2500 0.2500 0.2500  4 Fe 2.57, 4 Si 2.57
Si: 0.0000 0.0000 0.0000  4 Be 2.57, 4 Hf 2.57


A relaxed MgBPd2 crystal. Source: the Open Quantum Materials Database, functional PBE.

Properties
For the total energy, the calculation gives -4.424 eV per atom.

abc: 4.2699 4.2699 4.2699
angles: 60.00 60.00 60.00
Last column: nearest neighbours and their distance in Å.
Fractional coordinates of all 4 atoms:
B: 0.5000 0.5000 0.5000  4 Mg 2.61, 4 Pd 2.61
Mg: 0.2500 0.2500 0.2500  4 B 2.61, 4 Pd 2.61
Pd: 0.0000 0.0000 0.0000  4 Pd 2.61, 4 Mg 2.61
Pd: 0.7500 0.7500 0.7500  4 Pd 2.61, 4 B 2.61


A relaxed Cu3Ag crystal. Source: the Open Quantum Materials Database, functional PBE.

Properties
As for the energy relative to the elements: 1.5 kcal/mol of atoms. For the total energy, the calculation gives -3.427 eV per atom.

abc: 2.7436 2.7436 14.2102
angles: 90.00 90.00 90.00
Last column: nearest neighbours and their distance in Å.
Fractional coordinates of all 8 atoms:
Ag: 0.0000 0.5000 0.1931  4 Ag 2.74, 8 Cu 2.75
Ag: 0.5000 0.0000 0.8069  4 Ag 2.74, 8 Cu 2.75
Cu: 0.5000 0.0000 0.0559  8 Cu 2.51-2.74, 4 Ag 2.75
Cu: 0.5000 0.0000 0.3305  8 Cu 2.52-2.74, 4 Ag 2.75
Cu: 0.0000 0.5000 0.4437  12 Cu 2.51-2.74
Cu: 0.5000 0.0000 0.5563  12 Cu 2.51-2.74
Cu: 0.0000 0.5000 0.6695  8 Cu 2.52-2.74, 4 Ag 2.75
Cu: 0.0000 0.5000 0.9441  8 Cu 2.51-2.74, 4 Ag 2.75


A relaxed SrAgSb2Pd crystal. Source: the Open Quantum Materials Database, functional PBE.

Properties
For the total energy, the calculation gives -4.228 eV per atom.

abc: 4.7143 4.7143 11.2007
angles: 90.00 90.00 90.00
Last column: nearest neighbours and their distance in Å.
Fractional coordinates of all 10 atoms:
Ag: 0.0000 0.0000 0.0000  4 Sb 2.85
Ag: 0.5000 0.5000 0.0000  4 Sb 2.85
Pd: 0.5000 0.0000 0.3793  5 Sb 2.64-2.72
Pd: 0.0000 0.5000 0.6207  5 Sb 2.64-2.72
Sb: 0.5000 0.0000 0.1432  1 Pd 2.64, 4 Ag 2.85
Sb: 0.0000 0.0000 0.5000  4 Pd 2.72
Sb: 0.5000 0.5000 0.5000  4 Pd 2.72
Sb: 0.0000 0.5000 0.8568  1 Pd 2.64, 4 Ag 2.85
Sr: 0.0000 0.5000 0.2515  8 Sb 3.55-3.65, 4 Pd 3.63, 4 Ag 3.67
Sr: 0.5000 0.0000 0.7485  8 Sb 3.55-3.65, 4 Pd 3.63, 4 Ag 3.67


A relaxed SmYTlAu2 crystal. Source: the Open Quantum Materials Database, functional PBE.

Properties
For the total energy, the calculation gives -4.689 eV per atom.

abc: 3.6114 7.7952 7.7952
angles: 34.15 90.00 90.00
Last column: nearest neighbours and their distance in Å.
Fractional coordinates of all 5 atoms:
Au: 0.5000 0.1949 0.1949  2 Au 2.80, 1 Tl 2.89, 4 Y 3.07
Au: 0.5000 0.8027 0.8027  2 Au 2.80, 1 Tl 2.95, 4 Sm 3.09
Sm: 0.0000 0.3712 0.3712  6 Au 3.09-3.19
Tl: 0.5000 0.0007 0.0007  2 Au 2.89-2.95
Y: 0.0000 0.6304 0.6304  6 Au 3.07-3.14